[1]
RbMg2BW (PBE, relaxed); VASP energy = -1.58 eV/atom; SG = P4/mmm, No. 123; magnetic moment = 6.0 μB per formula unit
1.0
7.070 0.000 0.000
0.000 7.070 0.000
0.000 0.000 6.691
Rb Mg B W
1 2 1 1
Direct
0.000 0.000 0.000
0.000 0.500 0.000
0.500 0.000 0.000
0.500 0.500 0.500
0.000 0.000 0.500

[2]
Li2HfTl (PBE, relaxed); VASP energy = -3.88 eV/atom; SG = Fm-3m, No. 225; magnetic moment = 0.0 μB per formula unit
1.0
6.553 0.000 0.000
0.000 6.553 0.000
0.000 0.000 6.553
Li Hf Tl
8 4 4
Direct
0.250 0.250 0.250
0.250 0.250 0.750
0.250 0.750 0.250
0.250 0.750 0.750
0.750 0.250 0.250
0.750 0.250 0.750
0.750 0.750 0.250
0.750 0.750 0.750
0.000 0.000 0.000
0.000 0.500 0.500
0.500 0.000 0.500
0.500 0.500 0.000
0.000 0.000 0.500
0.000 0.500 0.000
0.500 0.000 0.000
0.500 0.500 0.500

[3]
Tb8CeNd3 (PBE, relaxed); VASP energy = -4.19 eV/atom; SG = I-42m, No. 121; magnetic moment = 0.0 μB per formula unit
1.0
-4.364 4.364 5.674
4.364 -4.364 5.674
4.364 4.364 -5.674
Tb Ce Nd
8 1 3
Direct
0.113 0.113 0.752
0.206 0.206 0.467
0.261 0.794 0.000
0.361 0.361 0.248
0.639 0.887 0.000
0.739 0.739 0.533
0.794 0.261 0.000
0.887 0.639 0.000
0.000 0.000 0.000
0.250 0.750 0.500
0.500 0.500 0.000
0.750 0.250 0.500